## La2PmCd2Sn2 (PBE)

Data for a relaxed structure of La2PmCd2Sn2.

Summary:
- E: -27.034 eV/cell
- D(E_F): 5.930 states/eV per cell
- Crystal system: trigonal

a b c (Å): 9.809 9.809 9.809
angles (deg): 29.43 29.43 29.43
Element x y z (fractional)
La1 0.133 0.133 0.133
La2 0.867 0.867 0.867
Pm1 0.000 0.000 0.000
Cd1 0.413 0.413 0.413
Cd2 0.587 0.587 0.587
Sn1 0.269 0.269 0.269
Sn2 0.731 0.731 0.731